Entry 1:
# Au

A relaxed Au crystal (PBE, OQMD).

Structure (POSCAR):
```
Au
1.0
2.866 0.000 0.000
-1.433 2.482 0.000
0.000 0.000 18.536
Au
6
direct
0.000 0.000 0.200
0.000 0.000 0.800
0.333 0.667 0.067
0.333 0.667 0.663
0.667 0.333 0.337
0.667 0.333 0.933
```

Output
The calculation puts the volume at 21.97 Å³/atom. The calculation puts the distance to the lowest polymorph of the same formula at 98 meV per atom. Its symmetry is No. 164. The formation energy comes out at 98 meV per atom. Its calculated total energy is -3.1681 eV/atom.


Entry 2:
# ThMgHg

A relaxed ThMgHg crystal (PBE, OQMD).

Structure (POSCAR):
```
ThMgHg
1.0
0.000 3.532 3.532
3.532 0.000 3.532
3.532 3.532 0.000
Th Mg Hg
1 1 1
direct
0.000 0.000 0.000
0.500 0.500 0.500
0.750 0.750 0.750
```

Output
The calculation puts the volume at 29.37 Å³/atom. Its symmetry is No. 216. Its size of the total moment is 0.00 Bohr magnetons per cell. Its calculated total energy is -3.1636 eV/atom.


Entry 3:
# SmErCo2Si2

A relaxed SmErCo2Si2 crystal (PBE, OQMD).

Structure (POSCAR):
```
SmErCo2Si2
1.0
3.983 0.000 0.000
0.000 3.983 0.000
0.000 0.000 6.829
Sm Er Co Si
1 1 2 2
direct
0.000 0.000 0.000
0.500 0.500 0.630
0.000 0.500 0.326
0.500 0.000 0.326
0.000 0.000 0.508
0.500 0.500 0.147
```

Output
The calculation puts the volume at 18.05 Å³/atom. Its symmetry is No. 99. Its size of the total moment is 0.22 Bohr magnetons per cell. Its calculated total energy is -6.4500 eV/atom.


Entry 4:
# TmAsN2O

A relaxed TmAsN2O crystal (PBE, OQMD).

Structure (POSCAR):
```
TmAsN2O
1.0
7.788 0.000 0.000
0.000 7.284 0.000
-7.616 0.000 7.793
Tm As N O
8 8 16 8
direct
0.060 0.250 0.025
0.060 0.250 0.525
0.437 0.728 0.461
0.437 0.772 0.961
0.563 0.228 0.039
0.563 0.272 0.539
0.940 0.750 0.475
0.940 0.750 0.975
0.038 0.003 0.257
0.038 0.497 0.757
0.482 0.504 0.217
0.482 0.996 0.717
0.518 0.004 0.283
0.518 0.496 0.783
0.962 0.503 0.243
0.962 0.997 0.743
0.045 0.745 0.824
0.045 0.755 0.324
0.207 0.552 0.697
0.207 0.948 0.197
0.294 0.065 0.490
0.294 0.435 0.990
0.456 0.242 0.781
0.456 0.258 0.281
0.544 0.742 0.719
0.544 0.758 0.219
0.706 0.565 0.010
0.706 0.935 0.510
0.793 0.052 0.803
0.793 0.448 0.303
0.955 0.245 0.676
0.955 0.255 0.176
0.219 0.553 0.193
0.219 0.947 0.693
0.278 0.043 0.975
0.278 0.457 0.475
0.722 0.543 0.525
0.722 0.957 0.025
0.781 0.053 0.307
0.781 0.447 0.807
```

Output
The calculation puts the volume at 11.05 Å³/atom. Its symmetry is No. 14. Its size of the total moment is 0.00 Bohr magnetons per cell. Its calculated total energy is -7.0470 eV/atom.


Entry 5:
# PmN

A relaxed PmN crystal (PBE, OQMD).

Structure (POSCAR):
```
PmN
1.0
0.000 2.540 2.540
2.540 0.000 2.540
2.540 2.540 0.000
Pm N
1 1
direct
0.000 0.000 0.000
0.500 0.500 0.500
```

Output
The calculation puts the volume at 16.39 Å³/atom. Its symmetry is No. 225. Its size of the total moment is 0.00 Bohr magnetons per cell. Its calculated total energy is -7.9729 eV/atom.


Entry 6:
# BaFeP2Ir

A relaxed BaFeP2Ir crystal (PBE, OQMD).

Structure (POSCAR):
```
BaFeP2Ir
1.0
-1.958 1.958 6.285
1.958 -1.958 6.285
1.958 1.958 -6.285
Ba Fe P Ir
1 1 2 1
direct
0.000 0.000 0.000
0.250 0.750 0.500
0.345 0.345 0.000
0.655 0.655 0.000
0.750 0.250 0.500
```

Output
The calculation puts the volume at 19.27 Å³/atom. Its symmetry is No. 119. Its size of the total moment is 0.00 Bohr magnetons per cell. Its calculated total energy is -6.8215 eV/atom.


Entry 7:
# TcTe2

A relaxed TcTe2 crystal (PBE, OQMD).

Structure (POSCAR):
```
TcTe2
1.0
1.814 1.047 6.946
-1.814 1.047 6.946
0.000 -2.094 6.946
Tc Te
1 2
direct
0.000 0.000 0.000
0.251 0.251 0.251
0.416 0.416 0.416
```

Output
The calculation puts the volume at 26.38 Å³/atom. Its symmetry is No. 160. Its size of the total moment is 0.84 Bohr magnetons per cell. Its calculated total energy is -5.6324 eV/atom.


Entry 8:
# GdYCd6

A relaxed GdYCd6 crystal (PBE, OQMD).

Structure (POSCAR):
```
GdYCd6
1.0
5.071 0.000 0.000
0.000 5.071 0.000
0.000 0.000 7.166
Gd Y Cd
1 1 6
direct
0.000 0.000 0.000
0.500 0.500 0.500
0.000 0.000 0.500
0.000 0.500 0.250
0.000 0.500 0.750
0.500 0.000 0.250
0.500 0.000 0.750
0.500 0.500 0.000
```

Output
The calculation puts the volume at 23.03 Å³/atom. Its symmetry is No. 123. Its size of the total moment is 0.01 Bohr magnetons per cell. The formation energy comes out at -294 meV per atom. Its calculated total energy is -2.3559 eV/atom.


Entry 9:
# RbSiPt

A relaxed RbSiPt crystal (PBE, OQMD).

Structure (POSCAR):
```
RbSiPt
1.0
0.000 3.542 3.542
3.542 0.000 3.542
3.542 3.542 0.000
Rb Si Pt
1 1 1
direct
0.000 0.000 0.000
0.250 0.250 0.250
0.750 0.750 0.750
```

Output
The calculation puts the volume at 29.64 Å³/atom. The calculation puts the distance to the lowest polymorph of the same formula at 864 meV per atom. Its symmetry is No. 216. Its size of the total moment is 0.54 Bohr magnetons per cell. Its calculated total energy is -2.6441 eV/atom.


Entry 10:
# LiCoNiB

A relaxed LiCoNiB crystal (PBE, OQMD).

Structure (POSCAR):
```
LiCoNiB
1.0
0.000 2.631 2.631
2.631 0.000 2.631
2.631 2.631 0.000
Li Co Ni B
1 1 1 1
direct
0.000 0.000 0.000
0.500 0.500 0.500
0.750 0.750 0.750
0.250 0.250 0.250
```

Output
The calculation puts the volume at 9.10 Å³/atom. The calculation puts the distance to the lowest polymorph of the same formula at 267 meV per atom. Its symmetry is No. 216. Its size of the total moment is 0.02 Bohr magnetons per cell. Its calculated total energy is -5.1162 eV/atom.


Entry 11:
# Ta5O

A relaxed Ta5O crystal (PBE, OQMD).

Structure (POSCAR):
```
Ta5O
1.0
5.401 0.000 0.000
-2.700 4.677 0.000
0.000 0.000 4.778
Ta O
5 1
direct
0.000 0.500 0.000
0.333 0.667 0.500
0.500 0.000 0.000
0.500 0.500 0.000
0.667 0.333 0.500
0.000 0.000 0.500
```

Output
The calculation puts the volume at 20.12 Å³/atom. Its symmetry is No. 191. Its size of the total moment is 0.01 Bohr magnetons per cell. Its calculated total energy is -9.5105 eV/atom.


Entry 12:
# Tb3Sn3Mo2N12

A relaxed Tb3Sn3Mo2N12 crystal (PBE, OQMD).

Structure (POSCAR):
```
Tb3Sn3Mo2N12
1.0
-6.451 6.451 6.451
6.451 -6.451 6.451
6.451 6.451 -6.451
Tb Sn Mo N
12 12 8 48
direct
0.125 0.250 0.375
0.125 0.375 0.750
0.250 0.375 0.125
0.250 0.875 0.625
0.375 0.125 0.250
0.375 0.750 0.125
0.625 0.250 0.875
0.625 0.875 0.750
0.750 0.125 0.375
0.750 0.625 0.875
0.875 0.625 0.250
0.875 0.750 0.625
0.125 0.750 0.875
0.125 0.875 0.250
0.250 0.125 0.875
0.250 0.625 0.375
0.375 0.250 0.625
0.375 0.625 0.750
0.625 0.375 0.250
0.625 0.750 0.375
0.750 0.375 0.625
0.750 0.875 0.125
0.875 0.125 0.750
0.875 0.250 0.125
0.000 0.000 0.000
0.000 0.000 0.500
0.000 0.500 0.000
0.000 0.500 0.500
0.500 0.000 0.000
0.500 0.000 0.500
0.500 0.500 0.000
0.500 0.500 0.500
0.033 0.203 0.115
0.033 0.330 0.918
0.082 0.615 0.412
0.082 0.967 0.670
0.088 0.703 0.670
0.088 0.885 0.418
0.115 0.033 0.203
0.115 0.582 0.912
0.170 0.203 0.588
0.170 0.467 0.582
0.203 0.115 0.033
0.203 0.588 0.170
0.297 0.330 0.912
0.297 0.467 0.385
0.330 0.912 0.297
0.330 0.918 0.033
0.385 0.297 0.467
0.385 0.588 0.918
0.412 0.082 0.615
0.412 0.830 0.797
0.418 0.088 0.885
0.418 0.830 0.533
0.467 0.385 0.297
0.467 0.582 0.170
0.533 0.418 0.830
0.533 0.615 0.703
0.582 0.170 0.467
0.582 0.912 0.115
0.588 0.170 0.203
0.588 0.918 0.385
0.615 0.412 0.082
0.615 0.703 0.533
0.670 0.082 0.967
0.670 0.088 0.703
0.703 0.533 0.615
0.703 0.670 0.088
0.797 0.412 0.830
0.797 0.885 0.967
0.830 0.533 0.418
0.830 0.797 0.412
0.885 0.418 0.088
0.885 0.967 0.797
0.912 0.115 0.582
0.912 0.297 0.330
0.918 0.033 0.330
0.918 0.385 0.588
0.967 0.670 0.082
0.967 0.797 0.885
```

Output
The calculation puts the volume at 13.42 Å³/atom. Its symmetry is No. 230. Its size of the total moment is 3.73 Bohr magnetons per cell. Its calculated total energy is -7.5178 eV/atom.